# 1
The following is a PBE-GGA calculation of NdZn2Cu3 after structural relaxation, from the Alexandria database.

The value obtained for the spin magnetization is 0.00 μB per atom. The calculation puts the formation energy from the elements at -205 meV/atom.

The space group is Cmcm (No. 63) and the conventional cell measures 9.5830, 8.3740 and 5.0658 Å, with angles of 90.00, 90.00 and 90.00 degrees. The inequivalent atoms are Nd at (0.0000, 0.1917, 0.2500), Zn at (0.2234, 0.5000, 0.0000), Cu at (0.0000, 0.4380, 0.7500) and Cu at (0.1802, 0.2307, 0.7500).

# 2
The following is a PBE-GGA calculation of PuPaIr after structural relaxation, from the Alexandria database.

The value obtained for the spin magnetization is 0.17 μB per atom. The value obtained for the polymorph energy (0 for the lowest one) is 550 meV per atom. The calculation puts the formation energy from the elements at 79 meV/atom.

The space group is I4/mmm (No. 139) and the conventional cell measures 10.7240, 10.7240 and 4.5608 Å, with angles of 90.00, 90.00 and 90.00 degrees. The inequivalent atoms are Pu at (0.2471, 0.2471, 0.0000), Pa at (0.0000, 0.2256, 0.0000) and Ir at (0.0000, 0.3790, 0.5000).

# 3
The following is a PBE-GGA calculation of DyIrBr after structural relaxation, from the Alexandria database.

The value obtained for the spin magnetization is 0.00 μB per atom. The value obtained for the polymorph energy (0 for the lowest one) is 499 meV per atom. The calculation puts the formation energy (no corrections) at -0.753 eV/atom.

The space group is C2/m (No. 12) and the conventional cell measures 8.6550, 4.5327 and 10.0638 Å, with angles of 90.00, 100.55 and 90.00 degrees. The inequivalent atoms are Dy at (0.2050, 0.0000, 0.3549), Ir at (0.1104, 0.0000, 0.6054) and Br at (0.1854, 0.5000, 0.1653).

# 4
The following is a PBE-GGA calculation of Tb2Zn3Rh2 after structural relaxation, from the Alexandria database.

The value obtained for the spin magnetization is 0.00 μB per atom. The calculation puts the formation energy from the elements at -636 meV/atom.

The space group is C2/m (No. 12) and the conventional cell measures 9.6819, 4.1321 and 7.0349 Å, with angles of 90.00, 111.21 and 90.00 degrees. The inequivalent atoms are Tb at (0.1451, 0.0000, 0.2703), Zn at (0.0000, 0.5000, 0.5000), Zn at (0.1332, 0.5000, 0.9432) and Rh at (0.1384, 0.0000, 0.6959).

# 5
The following is a PBE-GGA calculation of Sc2Cd5Hg after structural relaxation, from the Alexandria database.

The value obtained for the spin magnetization is 0.00 μB per atom. The value obtained for the polymorph energy (0 for the lowest one) is 60 meV per atom. The calculation puts the formation energy from the elements at -154 meV/atom.

The space group is R-3m (No. 166, hexagonal axes) and the conventional cell measures 4.9512, 4.9512 and 25.1301 Å, with angles of 90.00, 90.00 and 120.00 degrees. The inequivalent atoms are Sc at (0.0000, 0.0000, 0.1226), Cd at (0.0000, 0.0000, 0.2458), Cd at (0.0000, 0.0000, 0.3800), Cd at (0.0000, 0.0000, 0.5000) and Hg at (0.0000, 0.0000, 0.0000).

# 6
The following is a PBE-GGA calculation of BaAsRuBr2 after structural relaxation, from the Alexandria database.

The value obtained for the spin magnetization is 0.00 μB per atom. The value obtained for the polymorph energy (0 for the lowest one) is 0 meV per atom. The calculation puts the formation energy (no corrections) at -0.656 eV/atom.

The space group is P4/mmm (No. 123) and the conventional cell measures 5.3916, 5.3916 and 4.7130 Å, with angles of 90.00, 90.00 and 90.00 degrees. The inequivalent atoms are Ba at (0.0000, 0.0000, 0.0000), As at (0.5000, 0.5000, 0.0000), Ru at (0.5000, 0.5000, 0.5000) and Br at (0.0000, 0.5000, 0.5000).

# 7
The following is a PBE-GGA calculation of Rb2CaP2 after structural relaxation, from the Alexandria database.

The value obtained for the spin magnetization is 0.00 μB per atom. The calculation puts the formation energy from the elements at -371 meV/atom.

The space group is P4/mbm (No. 127) and the conventional cell measures 7.3994, 7.3994 and 5.6869 Å, with angles of 90.00, 90.00 and 90.00 degrees. The inequivalent atoms are Rb at (0.1676, 0.3324, 0.0000), Ca at (0.0000, 0.0000, 0.5000) and P at (0.1084, 0.6084, 0.5000).

# 8
The following is a PBE-GGA calculation of AlCoRuW2 after structural relaxation, from the Alexandria database.

The value obtained for the spin magnetization is 0.32 μB per atom. The calculation puts the formation energy from the elements at 1683 meV/atom.

The space group is P4/mmm (No. 123) and the conventional cell measures 4.6704, 4.6704 and 4.4900 Å, with angles of 90.00, 90.00 and 90.00 degrees. The inequivalent atoms are Al at (0.0000, 0.0000, 0.0000), Co at (0.5000, 0.5000, 0.0000), Ru at (0.5000, 0.5000, 0.5000) and W at (0.0000, 0.5000, 0.5000).

Which value of spin magnetization does entry 8 give?
0.32 μB per atom